Crystalline AcSbPt at its relaxed geometry, computed with PBE.

Summary:
Energy above the lowest structure with this stoichiometry = 106 meV/atom
Fermi-level density of states = 0.25 states/eV/cell
Raw formation energy = -1058 meV/atom
M_tot = 0.00 μB/f.u.

```
data_AcSbPt
_chemical_formula_sum 'Ac4 Sb4 Pt4'
_symmetry_space_group_name_H-M 'P 1'
_symmetry_Int_Tables_number 1
_cell_length_a 7.051
_cell_length_b 7.051
_cell_length_c 7.051
_cell_angle_alpha 90.00
_cell_angle_beta 90.00
_cell_angle_gamma 90.00
loop_
_symmetry_equiv_pos_as_xyz
'x,y,z'
loop_
_atom_site_label
_atom_site_type_symbol
_atom_site_fract_x
_atom_site_fract_y
_atom_site_fract_z
_atom_site_occupancy
Ac1 Ac 0.000 0.000 0.000 1
Ac2 Ac 0.000 0.500 0.500 1
Ac3 Ac 0.500 0.000 0.500 1
Ac4 Ac 0.500 0.500 0.000 1
Sb1 Sb 0.000 0.000 0.500 1
Sb2 Sb 0.000 0.500 0.000 1
Sb3 Sb 0.500 0.000 0.000 1
Sb4 Sb 0.500 0.500 0.500 1
Pt1 Pt 0.250 0.250 0.250 1
Pt2 Pt 0.250 0.750 0.750 1
Pt3 Pt 0.750 0.250 0.750 1
Pt4 Pt 0.750 0.750 0.250 1
```